The following is a DFT calculation (PBE) of a geometry-optimized Tb2Y4Tm structure.

Properties
The value obtained for the total energy is -5.650 eV/atom. Its space group is Cm (8). The calculation puts the energy above the most stable polymorph in this dataset at 0.0000 eV per atom.

```
Tb2Y4Tm
1.0
3.107 -1.794 0.000
3.107 1.794 0.000
-0.004 0.000 20.028
Tb Y Tm
2 4 1
Cartesian
0.000 0.000 0.000 Tb
0.003 0.000 5.723 Tb
2.067 0.000 17.148 Y
2.073 0.000 2.855 Y
4.143 0.000 14.235 Y
4.146 0.000 8.601 Y
0.003 0.000 11.406 Tm
```